Record 1
The following is a PBE-GGA calculation of a relaxed structure of ZrBi, from OQMD via LeMat-Bulk.

Its symmetry is Pmm2 (25).

abc: 5.590 6.839 5.374
angles: 90.00 90.00 90.00
Fractional positions:
Bi 0.853 0.725 0.500
Bi 0.853 0.275 0.500
Zr 0.357 0.500 0.500
Zr 0.472 0.254 0.000
Zr 0.988 0.500 0.000
Bi 0.366 0.000 0.500
Bi 0.973 0.000 0.000
Zr 0.472 0.746 0.000

---

Record 2
The following is a PBE-GGA calculation of a relaxed structure of PrB, from OQMD via LeMat-Bulk.

Its symmetry is Fm-3m (225).

abc: 3.967 3.967 3.967
angles: 60.00 60.00 60.00
Each line ends with the local moment (μB).
Fractional positions:
Pr 0.500 0.500 0.500  0.26
B 0.000 0.000 0.000  0.24

---

Record 3
The following is a PBE-GGA calculation of a relaxed structure of LaPrMg6Ge3, from OQMD via LeMat-Bulk.

Its symmetry is P-6 (174).

abc: 8.243 8.243 4.358
angles: 90.00 90.00 120.00
Fractional positions:
Ge 0.334 0.057 0.500
Mg 0.128 0.463 0.000
Ge 0.943 0.277 0.500
Pr 0.667 0.333 0.000
La 0.000 0.000 0.000
Mg 0.334 0.378 0.500
Mg 0.335 0.872 0.000
Mg 0.537 0.665 0.000
Mg 0.622 0.956 0.500
Ge 0.723 0.666 0.500
Mg 0.044 0.666 0.500

---

Record 4
The following is a PBE-GGA calculation of a relaxed structure of HfFeB2, from OQMD via LeMat-Bulk.

Its symmetry is F-43m (216).

abc: 3.926 3.926 3.926
angles: 60.00 60.00 60.00
Fractional positions:
B 0.000 0.000 0.000
Fe 0.250 0.250 0.250
Hf 0.500 0.500 0.500
B 0.750 0.750 0.750

---

Number 1: raw total energy -50.65 eV per cell. Number 2: raw total energy -10.38 eV per cell. Number 3: raw total energy -37.37 eV per cell. Number 4: raw total energy -28.98 eV per cell.